Density functional theory data (PBE) for LaMgTa2 after structural relaxation.

E_form ... 0.588 eV/atom
Symmetry ... No. 166

Cell: 11.2009 11.2009 11.2009 Å, 15.50 15.50 15.50°
Closest atoms and distances in Å follow each position.
Atoms (fractional coordinates):
La (0.2500, 0.2500, 0.2500)  6 La 3.02
Mg (0.7500, 0.7500, 0.7500)  6 Mg 3.02, 6 Ta 3.09
Ta (0.0063, 0.0063, 0.0063)  6 Ta 3.02, 3 Mg 3.09
Ta (0.4937, 0.4937, 0.4937)  6 Ta 3.02, 3 Mg 3.09

=====

Density functional theory data (PBE) for BaIr2Au after structural relaxation.

Distance to the lowest polymorph of the same formula ... 323 meV/atom
E_form ... 0.183 eV/atom
Symmetry ... No. 6

Cell: 3.8478 2.9910 8.1106 Å, 68.26 90.00 90.00°
Closest atoms and distances in Å follow each position.
Atoms (fractional coordinates):
Ir (0.0000, 0.9179, 0.0826)  4 Ir 2.60, 1 Au 2.78
Ir (0.5000, 0.2955, 0.2045)  4 Ir 2.60
Au (0.0000, 0.5490, 0.4513)  5 Ir 2.78-3.07, 2 Au 2.99
Ba (0.5000, 0.7375, 0.7616)  2 Ba 2.99, 1 Ir 3.34

=====

Density functional theory data (PBE) for Tm5HfAg4 after structural relaxation.

E_form ... -0.232 eV/atom
Symmetry ... No. 123

Cell: 3.5069 3.5069 19.1806 Å, 90.00 90.00 90.00°
Closest atoms and distances in Å follow each position.
Atoms (fractional coordinates):
Tm (0.5000, 0.5000, 0.1134)  4 Ag 3.11, 4 Hf 3.30
Tm (0.5000, 0.5000, 0.3073)  8 Ag 3.09-3.10
Tm (0.5000, 0.5000, 0.5000)  8 Ag 3.08
Tm (0.5000, 0.5000, 0.6927)  8 Ag 3.09-3.10
Tm (0.5000, 0.5000, 0.8866)  4 Ag 3.11, 4 Hf 3.30
Hf (0.0000, 0.0000, 0.0000)  8 Tm 3.30, 4 Hf 3.51
Ag (0.0000, 0.0000, 0.2113)  8 Tm 3.09-3.11
Ag (0.0000, 0.0000, 0.4045)  8 Tm 3.08-3.10
Ag (0.0000, 0.0000, 0.5955)  8 Tm 3.08-3.10
Ag (0.0000, 0.0000, 0.7887)  8 Tm 3.09-3.11

=====

Density functional theory data (PBE) for Hf3AlGa5 after structural relaxation.

E_form ... -0.008 eV/atom
Symmetry ... No. 140

Cell: 8.0095 8.0095 7.8398 Å, 120.72 120.72 90.00°
Closest atoms and distances in Å follow each position.
Atoms (fractional coordinates):
Hf (0.6227, 0.1227, 0.0000)  2 Ga 2.64, 1 Hf 2.78
Hf (0.3773, 0.8773, 0.0000)  2 Ga 2.64, 1 Hf 2.78
Hf (0.8773, 0.6227, 0.0000)  2 Ga 2.64, 1 Hf 2.78
Hf (0.1227, 0.3773, 0.0000)  2 Ga 2.64, 1 Hf 2.78
Hf (0.2500, 0.2500, 0.5000)  2 Ga 2.71
Hf (0.7500, 0.7500, 0.5000)  2 Ga 2.71
Al (0.7500, 0.2500, 0.5000)  4 Ga 2.44
Al (0.2500, 0.7500, 0.5000)  4 Ga 2.44
Ga (0.0461, 0.5461, 0.7144)  1 Al 2.44, 1 Hf 2.64, 1 Ga 2.70
Ga (0.6682, 0.1682, 0.7144)  1 Al 2.44, 1 Hf 2.64, 1 Ga 2.70
Ga (0.1682, 0.0461, 0.7144)  1 Al 2.44, 1 Hf 2.64, 1 Ga 2.70
Ga (0.5461, 0.6682, 0.7144)  1 Al 2.44, 1 Hf 2.64, 1 Ga 2.70
Ga (0.9539, 0.4539, 0.2856)  1 Al 2.44, 1 Hf 2.64, 1 Ga 2.70
Ga (0.3318, 0.8318, 0.2856)  1 Al 2.44, 1 Hf 2.64, 1 Ga 2.70
Ga (0.8318, 0.9539, 0.2856)  1 Al 2.44, 1 Hf 2.64, 1 Ga 2.70
Ga (0.4539, 0.3318, 0.2856)  1 Al 2.44, 1 Hf 2.64, 1 Ga 2.70
Ga (0.5000, 0.5000, 0.0000)  2 Hf 2.71
Ga (0.0000, 0.0000, 0.0000)  2 Hf 2.71

=====

Density functional theory data (PBE) for SmEr2Bi after structural relaxation.

Distance to the lowest polymorph of the same formula ... 0 meV/atom
E_form ... -0.449 eV/atom
Symmetry ... No. 11

Cell: 4.6397 4.6137 11.6893 Å, 90.00 101.46 90.00°
Closest atoms and distances in Å follow each position.
Atoms (fractional coordinates):
Sm (0.6935, 0.7500, 0.3865)  5 Bi 3.26-3.34
Sm (0.3065, 0.2500, 0.6135)  5 Bi 3.26-3.34
Er (0.5579, 0.2500, 0.1159)  8 Er 3.27-3.53, 2 Bi 3.36-3.37
Er (0.4421, 0.7500, 0.8841)  8 Er 3.27-3.53, 2 Bi 3.36-3.37
Er (0.0581, 0.7500, 0.1163)  8 Er 3.27-3.53, 2 Bi 3.35
Er (0.9419, 0.2500, 0.8837)  8 Er 3.27-3.53, 2 Bi 3.35
Bi (0.1648, 0.2500, 0.3287)  5 Sm 3.26-3.34, 4 Er 3.35-3.37
Bi (0.8352, 0.7500, 0.6713)  5 Sm 3.26-3.34, 4 Er 3.35-3.37

=====

Density functional theory data (PBE) for CsSr2Te2 after structural relaxation.

Distance to the lowest polymorph of the same formula ... 61 meV/atom
Symmetry ... No. 127
Raw formation energy ... -1.12 eV per atom

Cell: 9.5399 9.5399 4.3734 Å, 90.00 90.00 90.00°
Closest atoms and distances in Å follow each position.
Atoms (fractional coordinates):
Cs (0.0000, 0.0000, 0.0000)  4 Te 3.65
Cs (0.5000, 0.5000, 0.0000)  4 Te 3.65
Sr (0.1471, 0.6471, 0.5000)  6 Te 3.53-3.56
Sr (0.6471, 0.8529, 0.5000)  6 Te 3.53-3.56
Sr (0.8529, 0.3529, 0.5000)  6 Te 3.53-3.56
Sr (0.3529, 0.1471, 0.5000)  6 Te 3.53-3.56
Te (0.3528, 0.8528, 0.0000)  6 Sr 3.53-3.56, 2 Cs 3.65
Te (0.8528, 0.6472, 0.0000)  6 Sr 3.53-3.56, 2 Cs 3.65
Te (0.6472, 0.1472, 0.0000)  6 Sr 3.53-3.56, 2 Cs 3.65
Te (0.1472, 0.3528, 0.0000)  6 Sr 3.53-3.56, 2 Cs 3.65

=====

Density functional theory data (PBE) for BaP2PtO after structural relaxation.

Distance to the lowest polymorph of the same formula ... 0 meV/atom
Symmetry ... No. 123
Raw formation energy ... -0.28 eV per atom

Cell: 4.5869 4.5869 5.0289 Å, 90.00 90.00 90.00°
Closest atoms and distances in Å follow each position.
Atoms (fractional coordinates):
O (0.0000, 0.0000, 0.5000)  2 Pt 2.51
P (0.0000, 0.5000, 0.0000)  2 Pt 2.29
P (0.5000, 0.0000, 0.0000)  2 Pt 2.29
Ba (0.5000, 0.5000, 0.5000)  4 O 3.24, 8 P 3.40
Pt (0.0000, 0.0000, 0.0000)  4 P 2.29, 2 O 2.51

=====

Density functional theory data (PBE) for HoCd4Hg7 after structural relaxation.

Distance to the lowest polymorph of the same formula ... 56 meV/atom
E_form ... -0.034 eV/atom
Symmetry ... No. 12

Cell: 6.1783 8.7585 6.9415 Å, 72.31 63.57 69.35°
Closest atoms and distances in Å follow each position.
Atoms (fractional coordinates):
Ho (0.0000, 0.0000, 0.0000)  8 Hg 3.09-3.17
Cd (0.4970, 0.3322, 0.6739)  6 Hg 2.99-3.10, 2 Cd 3.07-3.19
Cd (0.5030, 0.6678, 0.3261)  6 Hg 2.99-3.10, 2 Cd 3.07-3.19
Cd (0.7478, 0.6729, 0.8314)  7 Hg 3.04-3.15, 1 Cd 3.07
Cd (0.2522, 0.3271, 0.1686)  7 Hg 3.04-3.15, 1 Cd 3.07
Hg (0.7501, 0.0013, 0.4985)  5 Hg 3.09-3.14, 2 Cd 3.09-3.10, 1 Ho 3.10
Hg (0.2499, 0.9987, 0.5015)  5 Hg 3.09-3.14, 2 Cd 3.09-3.10, 1 Ho 3.10
Hg (0.0026, 0.6617, 0.3331)  3 Hg 3.07-3.16, 4 Cd 3.09-3.11, 1 Ho 3.16
Hg (0.9974, 0.3383, 0.6669)  3 Hg 3.07-3.16, 4 Cd 3.09-3.11, 1 Ho 3.16
Hg (0.2576, 0.6588, 0.8260)  5 Cd 2.99-3.15, 2 Hg 3.14-3.16, 1 Ho 3.17
Hg (0.5000, 0.0000, 0.0000)  4 Cd 3.04-3.10, 2 Ho 3.09, 2 Hg 3.12
Hg (0.7424, 0.3412, 0.1740)  5 Cd 2.99-3.15, 2 Hg 3.14-3.16, 1 Ho 3.17

=====

Density functional theory data (PBE) for Pr2Nd4Sm2Er after structural relaxation.

E_form ... 0.016 eV/atom
Symmetry ... No. 12

Cell: 5.1788 8.1859 8.1621 Å, 107.55 90.00 108.44°
Closest atoms and distances in Å follow each position.
Atoms (fractional coordinates):
Pr (0.8887, 0.7774, 0.3304)  1 Er 3.64, 3 Sm 3.64-3.65, 7 Nd 3.66-3.68, 1 Pr 3.68
Pr (0.1113, 0.2226, 0.6696)  1 Er 3.64, 3 Sm 3.64-3.65, 7 Nd 3.66-3.68, 1 Pr 3.68
Nd (0.7787, 0.5575, 0.6689)  1 Er 3.63, 3 Sm 3.64-3.66, 5 Nd 3.65-3.68, 3 Pr 3.67-3.68
Nd (0.2213, 0.4425, 0.3311)  1 Er 3.63, 3 Sm 3.64-3.66, 5 Nd 3.65-3.68, 3 Pr 3.67-3.68
Nd (0.5555, 0.1110, 0.3310)  2 Sm 3.63-3.64, 2 Er 3.64, 4 Nd 3.65-3.69, 4 Pr 3.66-3.68
Nd (0.4445, 0.8890, 0.6690)  2 Sm 3.63-3.64, 2 Er 3.64, 4 Nd 3.65-3.69, 4 Pr 3.66-3.68
Sm (0.3342, 0.6684, 0.9996)  5 Nd 3.63-3.66, 3 Pr 3.64-3.65, 2 Er 3.65, 2 Sm 3.68
Sm (0.6658, 0.3316, 0.0004)  5 Nd 3.63-3.66, 3 Pr 3.64-3.65, 2 Er 3.65, 2 Sm 3.68
Er (0.0000, 0.0000, 0.0000)  6 Nd 3.63-3.64, 2 Pr 3.64, 4 Sm 3.65

=====

Density functional theory data (PBE) for ZnAg2Sb after structural relaxation.

Distance to the lowest polymorph of the same formula ... 55 meV/atom
Symmetry ... No. 122
Raw formation energy ... 0.13 eV per atom

Cell: 4.2267 4.2267 9.8612 Å, 77.62 77.62 90.00°
Closest atoms and distances in Å follow each position.
Atoms (fractional coordinates):
Sb (0.0000, 0.0000, 0.0000)  4 Ag 2.81, 4 Zn 2.99
Sb (0.7500, 0.2500, 0.5000)  4 Ag 2.81, 4 Zn 2.99
Zn (0.5000, 0.5000, 0.0000)  4 Ag 2.76, 4 Sb 2.99
Zn (0.2500, 0.7500, 0.5000)  4 Ag 2.76, 4 Sb 2.99
Ag (0.6112, 0.1250, 0.2500)  2 Zn 2.76, 2 Sb 2.81, 4 Ag 2.91-3.07
Ag (0.1388, 0.6250, 0.2500)  2 Zn 2.76, 2 Sb 2.81, 4 Ag 2.91-3.07
Ag (0.3750, 0.3888, 0.7500)  2 Zn 2.76, 2 Sb 2.81, 4 Ag 2.91-3.07
Ag (0.8750, 0.8612, 0.7500)  2 Zn 2.76, 2 Sb 2.81, 4 Ag 2.91-3.07

=====

Density functional theory data (PBE) for HoTm2Tl9 after structural relaxation.

E_form ... -0.193 eV/atom
Symmetry ... No. 123

Cell: 4.7515 4.7515 14.2544 Å, 90.00 90.00 90.00°
Closest atoms and distances in Å follow each position.
Atoms (fractional coordinates):
Ho (0.0000, 0.0000, 0.0000)  12 Tl 3.36-3.37
Tm (0.0000, 0.0000, 0.3334)  12 Tl 3.35-3.36
Tm (0.0000, 0.0000, 0.6666)  12 Tl 3.35-3.36
Tl (0.5000, 0.5000, 0.0000)  4 Ho 3.36, 8 Tl 3.37
Tl (0.5000, 0.5000, 0.3335)  8 Tl 3.35-3.36, 4 Tm 3.36
Tl (0.5000, 0.5000, 0.6665)  8 Tl 3.35-3.36, 4 Tm 3.36
Tl (0.5000, 0.0000, 0.1673)  2 Tm 3.35, 8 Tl 3.35-3.37, 2 Ho 3.37
Tl (0.5000, 0.0000, 0.5000)  8 Tl 3.36, 4 Tm 3.36
Tl (0.5000, 0.0000, 0.8327)  2 Tm 3.35, 8 Tl 3.35-3.37, 2 Ho 3.37
Tl (0.0000, 0.5000, 0.1673)  2 Tm 3.35, 8 Tl 3.35-3.37, 2 Ho 3.37
Tl (0.0000, 0.5000, 0.5000)  8 Tl 3.36, 4 Tm 3.36
Tl (0.0000, 0.5000, 0.8327)  2 Tm 3.35, 8 Tl 3.35-3.37, 2 Ho 3.37

=====

Density functional theory data (PBE) for Ce2Zn3Sn3 after structural relaxation.

E_form ... -0.396 eV/atom
Symmetry ... No. 47

Cell: 4.5627 4.5465 8.9483 Å, 90.00 90.00 90.00°
Closest atoms and distances in Å follow each position.
Atoms (fractional coordinates):
Ce (0.0000, 0.0000, 0.7508)  6 Sn 3.18-3.20, 6 Zn 3.19-3.22
Ce (0.0000, 0.0000, 0.2492)  6 Sn 3.18-3.20, 6 Zn 3.19-3.22
Zn (0.5000, 0.5000, 0.7685)  2 Zn 3.08, 6 Sn 3.08-3.31, 4 Ce 3.22
Zn (0.5000, 0.5000, 0.2315)  2 Zn 3.08, 6 Sn 3.08-3.31, 4 Ce 3.22
Zn (0.5000, 0.0000, 0.0000)  4 Zn 3.08, 4 Ce 3.19, 4 Sn 3.22
Sn (0.5000, 0.0000, 0.5000)  4 Ce 3.20, 4 Sn 3.22, 4 Zn 3.31
Sn (0.0000, 0.5000, 0.0000)  8 Zn 3.08-3.22, 4 Ce 3.18
Sn (0.0000, 0.5000, 0.5000)  4 Ce 3.19, 4 Sn 3.22, 4 Zn 3.31